Dy12CoSb6 PBE optimized geometry; SG = No. 148; raw formation energy = -0.63 eV per atom; spin magnetization = 0.00 μB per formula unit
1.0
8.5040 -0.0682 -0.0817
-1.3566 8.3954 -0.0817
-1.3566 -1.5806 8.2456
Co Dy Sb
1 12 6
direct
0.0000 0.0000 0.0000
0.0569 0.9904 0.3065
0.5484 0.1962 0.4164
0.6935 0.9431 0.0096
0.4516 0.8038 0.5836
0.9431 0.0096 0.6935
0.3065 0.0569 0.9904
0.8038 0.5836 0.4516
0.1962 0.4164 0.5484
0.5836 0.4516 0.8038
0.4164 0.5484 0.1962
0.0096 0.6935 0.9431
0.9904 0.3065 0.0569
0.3559 0.6866 0.8801
0.6441 0.3134 0.1199
0.8801 0.3559 0.6866
0.3134 0.1199 0.6441
0.1199 0.6441 0.3134
0.6866 0.8801 0.3559